# Tb3Ag3Bi4 | Alexandria via LeMat-Bulk | PBE | relaxed
data_Tb3Ag3Bi4
_chemical_formula_sum 'Tb12 Ag12 Bi16'
_space_group_name_H-M_alt 'I -4 3 d'
_space_group_IT_number 220
_space_group_name_Hall 'I -4bd 2c 3'
_cell_length_a 10.205
_cell_length_b 10.205
_cell_length_c 10.205
_cell_angle_alpha 90.00
_cell_angle_beta 90.00
_cell_angle_gamma 90.00
loop_
_atom_site_label
_atom_site_fract_x
_atom_site_fract_y
_atom_site_fract_z
Tb1 0.000 0.250 0.375
Ag1 0.000 0.250 0.875
Bi1 0.090 0.090 0.090
# **M_tot**: 0.00 Bohr magnetons per cell
# **Formation energy**: -4.69 eV/f.u.
# **Calculated volume**: 26.571 Å³ per atom